1.
Ho2MgGa2Rh5 | PBE | optimized geometry

Cell: 3.5206 9.8543 9.8543 Å, 90.00 90.00 90.00°
Fractional coordinates of all 20 atoms:
Ho (0.0000, 0.6734, 0.1734)
Ho (0.0000, 0.3266, 0.8266)
Ho (0.0000, 0.1734, 0.3266)
Ho (0.0000, 0.8266, 0.6734)
Mg (0.0000, 0.0000, 0.0000)
Mg (0.0000, 0.5000, 0.5000)
Ga (0.0000, 0.1253, 0.6253)
Ga (0.0000, 0.8747, 0.3747)
Ga (0.0000, 0.6253, 0.8747)
Ga (0.0000, 0.3747, 0.1253)
Rh (0.5000, 0.2052, 0.0684)
Rh (0.5000, 0.7948, 0.9316)
Rh (0.5000, 0.0684, 0.7948)
Rh (0.5000, 0.7052, 0.4316)
Rh (0.5000, 0.9316, 0.2052)
Rh (0.5000, 0.2948, 0.5684)
Rh (0.5000, 0.5684, 0.7052)
Rh (0.5000, 0.4316, 0.2948)
Rh (0.5000, 0.5000, 0.0000)
Rh (0.5000, 0.0000, 0.5000)

DOS at the Fermi energy: 9.31 states/eV per cell
Total magnetic moment: 0.00 μB/f.u.
Mass density: 9.8 g/cm3
Energy of formation: -0.76 eV/atom



2.
SmIn3Sn3 | PBE | optimized geometry

Cell: 7.7147 7.7093 6.7377 Å, 90.01 90.01 90.06°
Fractional coordinates of all 14 atoms:
Sm (0.2848, 0.2847, 0.0000)
Sm (0.7152, 0.7153, 0.0000)
In (0.2418, 0.2417, 0.5000)
In (0.3448, 0.6552, 0.5000)
In (0.6552, 0.3448, 0.5000)
In (0.2654, 0.7347, 0.0000)
In (0.7346, 0.2653, 0.0000)
In (0.7582, 0.7583, 0.5000)
Sn (0.0000, 0.0000, 0.7658)
Sn (0.5000, 0.0000, 0.2651)
Sn (0.0000, 0.5000, 0.2650)
Sn (0.5000, 0.0000, 0.7349)
Sn (0.0000, 0.5000, 0.7350)
Sn (0.0000, 0.0000, 0.2342)

DOS at the Fermi energy: 9.08 states/eV per cell
Total magnetic moment: 0.00 μB/f.u.
Mass density: 7.1 g/cm3
Energy of formation: -0.11 eV/atom